GGA-PBE Cs3ZrS4, optimized geometry; symmetry = I4/mmm (139); volume = 40.456 Å³ per atom; formation energy without anion corrections = -0.958 eV/atom; energy above the most stable polymorph in this dataset = 20.2 kJ/mol of atoms; E_tot = -4.41 eV per atom
1.0
7.511 0.050 0.079
-2.920 6.920 -0.079
-2.920 -3.073 6.201
Cs S Zr
3 4 1
Direct
0.500 0.750 0.250
0.000 0.000 0.000
0.500 0.250 0.750
0.417 0.708 0.708
0.000 0.708 0.292
0.583 0.292 0.292
0.000 0.292 0.708
0.000 0.500 0.500